Here is an optimized crystal structure of ZrSi2Mo from Alexandria via LeMat-Bulk. Energies are from GGA-PBE.

Cell and atoms, written as POSCAR:
```
ZrSi2Mo
1.0
1.520 0.878 8.366
-1.520 0.878 8.366
0.000 -1.755 8.366
Zr Si Mo
1 2 1
direct
0.000 0.000 0.000
0.242 0.242 0.242
0.758 0.758 0.758
0.500 0.500 0.500
```

- Energy above the lowest structure with this stoichiometry: 144 kJ/mol of formula units
- Total magnetic moment: 0.00 μB/cell

---

Here is an optimized crystal structure of ZrSiMo from Alexandria via LeMat-Bulk. Energies are from GGA-PBE.

Cell and atoms, written as POSCAR:
```
ZrSiMo
1.0
0.000 3.161 3.161
3.161 0.000 3.161
3.161 3.161 0.000
Zr Si Mo
1 1 1
direct
0.000 0.000 0.000
0.250 0.250 0.250
0.750 0.750 0.750
```

- Total magnetic moment: 1.29 μB/cell

---

Here is an optimized crystal structure of Zr3SiMo8 from Alexandria via LeMat-Bulk. Energies are from GGA-PBE.

Cell and atoms, written as POSCAR:
```
Zr3SiMo8
1.0
5.366 0.000 0.000
-2.683 4.647 0.000
0.000 0.000 8.579
Zr Si Mo
3 1 8
direct
0.000 0.000 0.000
0.000 0.000 0.383
0.333 0.667 0.875
0.333 0.667 0.507
0.008 0.504 0.193
0.325 0.163 0.683
0.496 0.504 0.193
0.496 0.992 0.193
0.667 0.333 0.437
0.667 0.333 0.934
0.837 0.163 0.683
0.837 0.675 0.683
```

- Total magnetic moment: 0.00 μB/cell

---

Here is an optimized crystal structure of ZrSiMo from Alexandria via LeMat-Bulk. Energies are from GGA-PBE.

Cell and atoms, written as POSCAR:
```
ZrSiMo
1.0
-1.764 2.727 5.414
1.764 -2.727 5.414
1.764 2.727 -5.414
Zr Si Mo
2 2 2
direct
0.196 0.196 0.000
0.804 0.804 0.000
0.385 0.885 0.500
0.615 0.115 0.500
0.234 0.500 0.734
0.766 0.500 0.266
```

- Total magnetic moment: 0.00 μB/cell

---

Density of states at the Fermi level, record by record: 2.966 4.918 9.991 2.860 states/eV/cell
Density, record by record: 6.03 5.66 8.30 6.86 g cm⁻³
Formation energy without anion corrections, record by record: -0.53 2.55 0.12 -1.66 eV/f.u.